First-principles (PBE-GGA) data for an optimized crystal structure of LiMoP2, as listed in Alexandria via LeMat-Bulk.

Structure (POSCAR):
```
LiMoP2
1.0
-1.769 1.769 4.323
1.769 -1.769 4.323
1.769 1.769 -4.323
Li Mo P
1 1 2
direct
0.000 0.000 0.000 Li
0.250 0.750 0.500 Mo
0.500 0.500 0.000 P
0.750 0.250 0.500 P
```

Values from the calculation:
The magnetization comes out at 0.00 μB per cell. For the excess energy over the best structure of this formula in the dataset, the calculation gives 1.30 eV per formula unit. As for the energy: -5.990 eV per atom.